1.
A plane-wave DFT calculation with PBE was carried out for a relaxed structure of ZnFeTcAs.

abc: 4.3177 4.3177 4.3177
angles: 60.00 60.00 60.00
Element x y z (fractional)
1 Zn 0.0000 0.0000 0.0000
2 Fe 0.5000 0.5000 0.5000
3 Tc 0.7500 0.7500 0.7500
4 As 0.2500 0.2500 0.2500

Values from the calculation:
Mass density (g/cm3): 8.6
Relative energy among the computed polymorphs (meV per atom): 277.5
Total magnetic moment (μB/cell): 3.19

=====

2.
A plane-wave DFT calculation with PBE was carried out for a relaxed structure of LaNbZn.

abc: 4.8782 4.8782 4.8782
angles: 60.00 60.00 60.00
Element x y z (fractional)
1 La 0.0000 0.0000 0.0000
2 Nb 0.7500 0.7500 0.7500
3 Zn 0.2500 0.2500 0.2500

Values from the calculation:
Mass density (g/cm3): 6.0
Relative energy among the computed polymorphs (meV per atom): 555.6
Calculated formation energy (eV/atom): 1.14
Total magnetic moment (μB/cell): 2.45

=====

3.
A plane-wave DFT calculation with PBE was carried out for a relaxed structure of LaPrFe.

abc: 4.8743 4.8743 4.8743
angles: 60.00 60.00 60.00
Element x y z (fractional)
1 La 0.0000 0.0000 0.0000
2 Pr 0.5000 0.5000 0.5000
3 Fe 0.2500 0.2500 0.2500

Values from the calculation:
Mass density (g/cm3): 6.8
Relative energy among the computed polymorphs (meV per atom): 0.0
Calculated formation energy (eV/atom): 0.25
Total magnetic moment (μB/cell): 0.40

=====

Copy entry 3 word for word.
A plane-wave DFT calculation with PBE was carried out for a relaxed structure of LaPrFe.

abc: 4.8743 4.8743 4.8743
angles: 60.00 60.00 60.00
Element x y z (fractional)
1 La 0.0000 0.0000 0.0000
2 Pr 0.5000 0.5000 0.5000
3 Fe 0.2500 0.2500 0.2500

Values from the calculation:
Mass density (g/cm3): 6.8
Relative energy among the computed polymorphs (meV per atom): 0.0
Calculated formation energy (eV/atom): 0.25
Total magnetic moment (μB/cell): 0.40

=====

Q: What is the formula in the first record?
A: ZnFeTcAs

=====

Q: The highest relative energy among the computed polymorphs belongs to which entry?
A: LaNbZn